Entry 1:
# NdDy2As

NdDy2As after structural relaxation (GGA-PBE, Alexandria).

```
NdDy2As
1.0
-0.688 -3.803 0.131
0.954 -2.242 -3.003
8.677 -3.437 2.832
As Nd Dy
1 1 2
direct
0.000 0.000 0.000
0.500 0.500 0.500
0.273 0.273 0.182
0.727 0.727 0.818
```

Computed properties:
size of the total moment: 0.00 μB/f.u.
N(E_F): 3.5 states/eV per cell
space-group type: R-3m (166)
calculated formation energy: -623 meV/atom


Entry 2:
# Li7Ag4Sn

Li7Ag4Sn after structural relaxation (GGA-PBE, Alexandria).

```
Li7Ag4Sn
1.0
-3.571 2.672 2.116
-6.840 -2.944 -2.068
-3.226 -3.617 4.881
Li Ag Sn
7 4 1
direct
0.803 0.878 0.516
0.197 0.122 0.484
0.077 0.581 0.265
0.923 0.419 0.735
0.240 0.723 0.797
0.500 0.000 0.000
0.760 0.277 0.203
0.555 0.290 0.599
0.445 0.710 0.401
0.684 0.645 0.988
0.316 0.355 0.012
0.000 0.000 0.000
```

Computed properties:
size of the total moment: 0.00 μB/f.u.
N(E_F): 3.3 states/eV per cell
space-group type: C2/m (12)
calculated formation energy: -113 meV/atom